PBE SbIrI2N, optimized geometry; E_form (uncorrected) = 1.565 eV/atom; density = 6.97 g/cm3
1.0
5.978 0.000 0.000
0.000 5.978 0.000
0.000 0.000 3.878
Sb Ir I N
1 1 2 1
Cartesian
0.000 0.000 0.000
2.989 2.989 1.939
0.000 2.989 0.000
2.989 0.000 0.000
0.000 0.000 1.939

---

PBE Tc2SbAs, optimized geometry; E_form (uncorrected) = 0.082 eV/atom; density = 10.16 g/cm3
1.0
0.000 3.178 3.178
3.178 0.000 3.178
3.178 3.178 0.000
Tc Sb As
2 1 1
Cartesian
1.589 1.589 1.589
4.767 4.767 4.767
0.000 0.000 0.000
3.178 3.178 3.178